[1]
Density functional theory data (GGA-PBE) for a relaxed CuPRu crystal.

Cell: 3.8820 3.8820 3.1091 Å, 90.00 90.00 120.00°
Space group P3m1 (No. 156)
One atom of each set of equivalent atoms:
Cu1 0.0000 0.0000 0.0000 [1 per cell]
P1 0.6667 0.3333 0.4070 [1 per cell]
Ru1 0.3333 0.6667 0.4997 [1 per cell]

Results
E above lowest polymorph, meV/atom: 198
Formation energy from the elements, eV per atom: -0.1331



[2]
Density functional theory data (GGA-PBE) for a relaxed CuP4Ru crystal.

Cell: 6.959 6.959 6.959 Å, 90.00 90.00 90.00°
Space group F-43m (No. 216)
One atom of each set of equivalent atoms:
Cu1 0.000 0.000 0.000 [4 per cell]
P1 0.128 0.128 0.628 [16 per cell]
Ru1 0.250 0.250 0.250 [4 per cell]

Results
Formation energy from the elements, eV per atom: 0.7708



[3]
Density functional theory data (GGA-PBE) for a relaxed CuPRu crystal.

Cell: 8.609 3.000 6.172 Å, 90.00 95.79 90.00°
Space group Cm (No. 8)
One atom of each set of equivalent atoms:
Cu1 0.000 0.000 0.000 [2 per cell]
Cu2 0.223 0.500 0.962 [2 per cell]
P1 0.090 0.000 0.668 [2 per cell]
P2 0.375 0.500 0.314 [2 per cell]
Ru1 0.100 0.500 0.364 [2 per cell]
Ru2 0.363 0.000 0.633 [2 per cell]

Results
E above lowest polymorph, meV/atom: 138
Formation energy from the elements, eV per atom: -0.1927



[4]
Density functional theory data (GGA-PBE) for a relaxed CuPRu crystal.

Cell: 4.330 3.684 5.535 Å, 90.00 109.14 90.00°
Space group P2_1/m (No. 11)
One atom of each set of equivalent atoms:
Cu1 0.172 0.250 0.428 [2 per cell]
P1 0.350 0.750 0.224 [2 per cell]
Ru1 0.226 0.250 0.948 [2 per cell]

Results
E above lowest polymorph, meV/atom: 30
Formation energy from the elements, eV per atom: -0.3003



Density? In order: 8.0; 5.7; 8.2; 7.8 g/cm3.